{
  "formula": "Ba6Ag5",
  "functional": "PBE",
  "state": "optimized geometry",
  "lattice_angstrom": [[-5.7222, -0.9057, 0.3745], [-0.1348, -2.4276, -7.9397], [4.3950, -6.5782, 6.2787]],
  "species": ["Ba", "Ba", "Ba", "Ba", "Ba", "Ba", "Ag", "Ag", "Ag", "Ag", "Ag"],
  "frac_coords": [[0.8311, 0.5782, 0.6623], [0.4999, 0.2552, 0.0000], [0.5001, 0.7448, 0.0000], [0.1689, 0.9160, 0.3377], [0.1689, 0.4218, 0.3377], [0.8311, 0.0840, 0.6623], [0.0000, 0.5000, 0.0000], [0.6665, 0.6665, 0.3330], [0.3353, 0.8353, 0.6706], [0.6647, 0.1647, 0.3294], [0.3335, 0.3335, 0.6670]],
  "formation_enthalpy_0k_mev_per_atom": -202,
  "sg": "Immm (71)",
  "n_ef_per_ev_atom": 1.00
}